1.
Computed, not measured: a geometry-optimized La4Ga2Ru2C structure at the PBE level of DFT.

Output
Space-group type: No. 12
E_form, eV per formula unit: -3.00
Calculated density, kg/m3: 7306

a = 5.5071 Å, b = 6.4112 Å, c = 6.4112 Å
α = 67.96°, β = 81.76°, γ = 81.76°
Fractional positions:
1 La 0.2702 0.1411 0.6232
2 La 0.7298 0.3768 0.8589
3 La 0.2702 0.6232 0.1411
4 La 0.7298 0.8589 0.3768
5 C 0.5000 0.0000 0.0000
6 Ga 0.8118 0.3442 0.3442
7 Ga 0.1882 0.6558 0.6558
8 Ru 0.7794 0.8648 0.8648
9 Ru 0.2206 0.1352 0.1352

---

2.
Computed, not measured: a geometry-optimized K2Sn4Ir structure at the PBE level of DFT.

Output
Space-group type: No. 139
E_form, eV per formula unit: 0.47
Calculated density, kg/m3: 4775

a = 5.0911 Å, b = 5.0911 Å, c = 10.6264 Å
α = 76.14°, β = 76.14°, γ = 90.00°
Fractional positions:
1 Ir 0.0000 0.0000 0.0000
2 Sn 0.8639 0.8639 0.2723
3 Sn 0.0000 0.5000 0.0000
4 Sn 0.1361 0.1361 0.7277
5 Sn 0.5000 0.0000 0.0000
6 K 0.6801 0.6801 0.6398
7 K 0.3199 0.3199 0.3602

---

3.
Computed, not measured: a geometry-optimized Ta2Nb4V structure at the PBE level of DFT.

Output
Space-group type: No. 65
Energy above the most stable polymorph in this dataset, meV per atom: 121
E_form, eV per formula unit: 3.28
Calculated density, kg/m3: 9799

a = 4.5244 Å, b = 3.1607 Å, c = 9.4291 Å
α = 99.65°, β = 90.00°, γ = 90.00°
Fractional positions:
1 Nb 0.0000 0.8248 0.6495
2 Nb 0.5000 0.6885 0.3770
3 Nb 0.0000 0.1752 0.3505
4 Nb 0.5000 0.3115 0.6230
5 Ta 0.5000 0.9324 0.8648
6 Ta 0.5000 0.0676 0.1352
7 V 0.0000 0.5000 0.0000

---

4.
Computed, not measured: a geometry-optimized Nd2Ga3Au structure at the PBE level of DFT.

Output
Space-group type: No. 69
Energy above the most stable polymorph in this dataset, meV per atom: 0
E_form, eV per formula unit: -4.30
Calculated density, kg/m3: 8431

a = 5.9568 Å, b = 5.9568 Å, c = 8.7131 Å
α = 107.27°, β = 107.27°, γ = 97.56°
Fractional positions:
1 Nd 0.7407 0.7407 0.0000
2 Nd 0.2593 0.2593 0.0000
3 Nd 0.7500 0.2500 0.5000
4 Nd 0.2500 0.7500 0.5000
5 Ga 0.8361 0.3284 0.1645
6 Ga 0.3284 0.8361 0.1645
7 Ga 0.1622 0.1622 0.3245
8 Ga 0.6716 0.1639 0.8355
9 Ga 0.1639 0.6716 0.8355
10 Ga 0.8378 0.8378 0.6755
11 Au 0.3306 0.3306 0.6612
12 Au 0.6694 0.6694 0.3388

---

5.
Computed, not measured: a geometry-optimized Cs5K12Au3 structure at the PBE level of DFT.

Output
Space-group type: No. 230
E_form, eV per formula unit: 1.52
Calculated density, kg/m3: 1637

a = 20.8693 Å, b = 20.8693 Å, c = 20.8693 Å
α = 109.47°, β = 109.47°, γ = 109.47°
Fractional positions:
1 K 0.1274 0.9766 0.3672
2 K 0.3492 0.7398 0.3726
3 K 0.6508 0.3906 0.5234
4 K 0.6094 0.2602 0.1328
5 K 0.8726 0.8492 0.7398
6 K 0.7398 0.3492 0.8726
7 K 0.3672 0.8906 0.7398
8 K 0.1274 0.1508 0.2602
9 K 0.2602 0.6094 0.6328
10 K 0.1508 0.1274 0.7602
11 K 0.6328 0.5234 0.8726
12 K 0.2398 0.3726 0.8492
13 K 0.1328 0.3726 0.0234
14 K 0.6328 0.1094 0.2602
15 K 0.2398 0.8672 0.8906
16 K 0.8906 0.3672 0.2398
17 K 0.7602 0.1328 0.1094
18 K 0.5234 0.8906 0.6508
19 K 0.0234 0.1508 0.3906
20 K 0.3492 0.6094 0.4766
21 K 0.1508 0.0234 0.8906
22 K 0.9766 0.8492 0.6094
23 K 0.6274 0.7602 0.6508
24 K 0.3906 0.7398 0.8672
25 K 0.0234 0.8726 0.1328
26 K 0.8672 0.2398 0.3906
27 K 0.3726 0.2398 0.3492
28 K 0.7602 0.6274 0.1508
29 K 0.8492 0.8726 0.2398
30 K 0.7398 0.3906 0.3672
31 K 0.4766 0.1094 0.3492
32 K 0.5234 0.6328 0.3726
33 K 0.8672 0.6274 0.9766
34 K 0.1328 0.7602 0.6094
35 K 0.1094 0.6328 0.7602
36 K 0.1094 0.4766 0.8492
37 K 0.6094 0.3492 0.9766
38 K 0.4766 0.3672 0.6274
39 K 0.6508 0.2602 0.6274
40 K 0.3672 0.4766 0.1274
41 K 0.2602 0.6508 0.1274
42 K 0.9766 0.1274 0.8672
43 K 0.3906 0.6508 0.0234
44 K 0.3726 0.1328 0.5234
45 K 0.8492 0.9766 0.1094
46 K 0.8726 0.0234 0.6328
47 K 0.6274 0.8672 0.4766
48 K 0.8906 0.5234 0.1508
49 Cs 0.5000 0.0000 0.0000
50 Cs 0.0000 0.5000 0.5000
51 Cs 0.6250 0.8750 0.2500
52 Cs 0.0000 0.0000 0.5000
53 Cs 0.1250 0.7500 0.3750
54 Cs 0.7500 0.1250 0.8750
55 Cs 0.1250 0.3750 0.2500
56 Cs 0.2500 0.3750 0.6250
57 Cs 0.0000 0.0000 0.0000
58 Cs 0.5000 0.5000 0.0000
59 Cs 0.5000 0.0000 0.5000
60 Cs 0.5000 0.5000 0.5000
61 Cs 0.7500 0.6250 0.3750
62 Cs 0.0000 0.5000 0.0000
63 Cs 0.3750 0.1250 0.7500
64 Cs 0.8750 0.2500 0.6250
65 Cs 0.6250 0.7500 0.8750
66 Cs 0.8750 0.6250 0.7500
67 Cs 0.2500 0.8750 0.1250
68 Cs 0.3750 0.2500 0.1250
69 Au 0.8750 0.1250 0.2500
70 Au 0.7500 0.3750 0.1250
71 Au 0.7500 0.8750 0.6250
72 Au 0.6250 0.3750 0.7500
73 Au 0.1250 0.2500 0.8750
74 Au 0.3750 0.6250 0.2500
75 Au 0.2500 0.1250 0.3750
76 Au 0.3750 0.7500 0.6250
77 Au 0.6250 0.2500 0.3750
78 Au 0.1250 0.8750 0.7500
79 Au 0.2500 0.6250 0.8750
80 Au 0.8750 0.7500 0.1250

---

6.
Computed, not measured: a geometry-optimized PaIrPt structure at the PBE level of DFT.

Output
Space-group type: No. 187
Energy above the most stable polymorph in this dataset, meV per atom: 294
E_form, eV per formula unit: -1.78
Calculated density, kg/m3: 17591

a = 3.2217 Å, b = 4.5739 Å, c = 4.5739 Å
α = 120.00°, β = 90.00°, γ = 90.00°
Fractional positions:
1 Pa 0.6666 0.3333 0.6667
2 Pt 0.1669 0.6667 0.3333
3 Ir 0.1665 0.0000 0.0000

---

7.
Computed, not measured: a geometry-optimized RbIn12Pd4 structure at the PBE level of DFT.

Output
Space-group type: No. 204
E_form, eV per formula unit: -2.61
Calculated density, kg/m3: 6742

a = 8.4548 Å, b = 8.4548 Å, c = 8.4548 Å
α = 109.47°, β = 109.47°, γ = 109.47°
Fractional positions:
1 Pd 0.0000 0.5000 0.0000
2 Pd 0.5000 0.0000 0.0000
3 Pd 0.5000 0.5000 0.5000
4 Pd 0.0000 0.0000 0.5000
5 In 0.1693 0.8283 0.3410
6 In 0.3410 0.1693 0.8283
7 In 0.4874 0.8283 0.6590
8 In 0.3410 0.5126 0.1717
9 In 0.5126 0.1717 0.3410
10 In 0.6590 0.4874 0.8283
11 In 0.1717 0.6590 0.8307
12 In 0.8283 0.6590 0.4874
13 In 0.6590 0.8307 0.1717
14 In 0.1717 0.3410 0.5126
15 In 0.8283 0.3410 0.1693
16 In 0.8307 0.1717 0.6590
17 Rb 0.0000 0.0000 0.0000

---

8.
Computed, not measured: a geometry-optimized NdAs3Pd structure at the PBE level of DFT.

Output
Space-group type: No. 57
E_form, eV per formula unit: -3.47
Calculated density, kg/m3: 7550

a = 5.8614 Å, b = 5.7290 Å, c = 12.4562 Å
α = 90.00°, β = 90.00°, γ = 90.00°
Fractional positions:
1 Nd 0.2500 0.9995 0.6888
2 Nd 0.7500 0.0005 0.3112
3 Nd 0.2500 0.4995 0.3112
4 Nd 0.7500 0.5005 0.6888
5 As 0.2500 0.9917 0.2246
6 As 0.2500 0.4917 0.7754
7 As 0.2500 0.6351 0.0706
8 As 0.7500 0.8649 0.0706
9 As 0.7500 0.5083 0.2246
10 As 0.0000 0.2500 0.4984
11 As 0.5000 0.7500 0.5016
12 As 0.0000 0.7500 0.5016
13 As 0.7500 0.0083 0.7754
14 As 0.2500 0.1351 0.9294
15 As 0.7500 0.3649 0.9294
16 As 0.5000 0.2500 0.4984
17 Pd 0.0000 0.2500 0.0873
18 Pd 0.5000 0.7500 0.9127
19 Pd 0.5000 0.2500 0.0873
20 Pd 0.0000 0.7500 0.9127

---

9.
Computed, not measured: a geometry-optimized BePb2 structure at the PBE level of DFT.

Output
Space-group type: No. 58
Energy above the most stable polymorph in this dataset, meV per atom: 118
E_form, eV per formula unit: 1.22
Calculated density, kg/m3: 9327

a = 4.1190 Å, b = 6.0335 Å, c = 6.0667 Å
α = 90.00°, β = 90.00°, γ = 90.00°
Fractional positions:
1 Pb 0.0000 0.2471 0.6382
2 Pb 0.0000 0.7529 0.3618
3 Pb 0.5000 0.2529 0.1382
4 Pb 0.5000 0.7471 0.8618
5 Be 0.5000 0.5000 0.5000
6 Be 0.0000 0.0000 0.0000

---

10.
Computed, not measured: a geometry-optimized Zr3AgS structure at the PBE level of DFT.

Output
Space-group type: No. 221
Energy above the most stable polymorph in this dataset, meV per atom: 1322
Calculated density, kg/m3: 5014

a = 5.1548 Å, b = 5.1548 Å, c = 5.1548 Å
α = 90.00°, β = 90.00°, γ = 90.00°
Fractional positions:
1 Ag 0.0000 0.0000 0.0000
2 Zr 0.5000 0.0000 0.0000
3 Zr 0.0000 0.5000 0.0000
4 Zr 0.0000 0.0000 0.5000
5 S 0.5000 0.5000 0.5000

---

11.
Computed, not measured: a geometry-optimized K2PuNb3O12 structure at the PBE level of DFT.

Output
Space-group type: No. 166
Final energy, eV/atom: -8.2930
Calculated density, kg/m3: 4309

a = 7.6429 Å, b = 7.6429 Å, c = 7.6429 Å
α = 58.59°, β = 58.59°, γ = 58.59°
Fractional positions:
1 O 0.0664 0.6879 0.6879
2 O 0.0651 0.0651 0.6853
3 O 0.3121 0.9336 0.3121
4 O 0.3147 0.9349 0.9349
5 O 0.6853 0.0651 0.0651
6 O 0.6879 0.0664 0.6879
7 O 0.3121 0.3121 0.9336
8 O 0.6879 0.6879 0.0664
9 O 0.0651 0.6853 0.0651
10 O 0.9349 0.9349 0.3147
11 O 0.9336 0.3121 0.3121
12 O 0.9349 0.3147 0.9349
13 Nb 0.0000 0.0000 0.5000
14 Nb 0.5000 0.0000 0.0000
15 Nb 0.0000 0.5000 0.0000
16 K 0.6026 0.6026 0.6026
17 K 0.3974 0.3974 0.3974
18 Pu 0.0000 0.0000 0.0000

---

12.
Computed, not measured: a geometry-optimized Mn2MoSe structure at the PBE level of DFT.

Output
Space-group type: No. 6
Final energy, eV/atom: -8.0521
Calculated density, kg/m3: 8056

a = 3.2611 Å, b = 3.1610 Å, c = 5.9086 Å
α = 74.53°, β = 90.00°, γ = 90.00°
Fractional positions:
1 Mn 0.0000 0.9467 0.9808
2 Mn 0.5000 0.3158 0.2439
3 Mo 0.0000 0.7067 0.4636
4 Se 0.5000 0.5308 0.8117

---

13.
Computed, not measured: a geometry-optimized CaCe3Dy2Te6 structure at the PBE level of DFT.

Output
Space-group type: No. 12
Final energy, eV/atom: -5.3653
Calculated density, kg/m3: 6900

a = 4.4078 Å, b = 8.9746 Å, c = 9.9906 Å
α = 104.09°, β = 102.74°, γ = 90.00°
Fractional positions:
1 Te 0.3347 0.9086 0.6694
2 Te 0.6653 0.0914 0.3306
3 Te 0.6681 0.5775 0.3361
4 Te 0.3319 0.4225 0.6639
5 Te 0.0041 0.2466 0.0083
6 Te 0.9959 0.7534 0.9917
7 Ce 0.1661 0.8315 0.3321
8 Ce 0.5000 0.5000 0.0000
9 Ce 0.8339 0.1685 0.6679
10 Dy 0.1693 0.3384 0.3385
11 Dy 0.8307 0.6616 0.6615
12 Ca 0.5000 0.0000 0.0000

---

14.
Computed, not measured: a geometry-optimized RbPdBr3 structure at the PBE level of DFT.

Output
Space-group type: No. 74
Final energy, eV/atom: -3.0186
Calculated density, kg/m3: 4248

a = 6.4061 Å, b = 13.9939 Å, c = 7.5271 Å
α = 90.00°, β = 90.00°, γ = 90.00°
Fractional positions:
1 Pd 0.7497 0.2500 0.2500
2 Pd 0.2497 0.2500 0.2500
3 Pd 0.7503 0.7500 0.7500
4 Pd 0.2503 0.7500 0.7500
5 Br 0.4997 0.2500 0.9848
6 Br 0.0003 0.8876 0.9089
7 Br 0.4997 0.1124 0.4089
8 Br 0.5003 0.8876 0.5911
9 Br 0.5003 0.6124 0.5911
10 Br 0.9997 0.1124 0.0911
11 Br 0.9997 0.3876 0.0911
12 Br 0.0003 0.6124 0.9089
13 Br 0.4997 0.3876 0.4089
14 Br 0.0003 0.7500 0.4848
15 Br 0.9997 0.2500 0.5152
16 Br 0.5003 0.7500 0.0152
17 Rb 0.0000 0.5000 0.5000
18 Rb 0.0000 0.0000 0.5000
19 Rb 0.5000 0.5000 0.0000
20 Rb 0.5000 0.0000 0.0000

---

15.
Computed, not measured: a geometry-optimized UVSi2Ru structure at the PBE level of DFT.

Output
Space-group type: No. 119
Final energy, eV/atom: -8.5983
Calculated density, kg/m3: 8939

a = 4.0483 Å, b = 4.0483 Å, c = 5.8117 Å
α = 110.38°, β = 110.38°, γ = 90.00°
Fractional positions:
1 Ru 0.2500 0.7500 0.5000
2 V 0.7500 0.2500 0.5000
3 Si 0.3834 0.3834 0.7668
4 Si 0.6166 0.6166 0.2332
5 U 0.0000 0.0000 0.0000

---

16.
Computed, not measured: a geometry-optimized LaZrPt2 structure at the PBE level of DFT.

Output
Space-group type: No. 123
E_form, eV per formula unit: -3.59
Calculated density, kg/m3: 12038

a = 5.0811 Å, b = 5.0811 Å, c = 3.3142 Å
α = 89.99°, β = 89.99°, γ = 90.01°
Fractional positions:
1 Pt 0.0000 0.0000 0.0000
2 Pt 0.5000 0.5000 0.0000
3 Zr 0.5000 0.0000 0.5000
4 La 0.0000 0.5000 0.5000

---

17.
Computed, not measured: a geometry-optimized CsHoMgO3 structure at the PBE level of DFT.

Output
Space-group type: No. 11
Final energy, eV/atom: -6.2258
Calculated density, kg/m3: 5120

a = 3.6020 Å, b = 8.0252 Å, c = 8.8587 Å
α = 110.34°, β = 90.00°, γ = 90.00°
Fractional positions:
1 Ho 0.2500 0.6626 0.1353
2 Ho 0.7500 0.3374 0.8647
3 O 0.7500 0.1548 0.5712
4 O 0.7500 0.8490 0.1512
5 O 0.2500 0.8452 0.4288
6 O 0.2500 0.1510 0.8488
7 O 0.7500 0.4759 0.1267
8 O 0.2500 0.5241 0.8733
9 Cs 0.7500 0.7857 0.7826
10 Cs 0.2500 0.2143 0.2174
11 Mg 0.2500 0.0802 0.6142
12 Mg 0.7500 0.9198 0.3858

---

18.
Computed, not measured: a geometry-optimized CdTcTeN2 structure at the PBE level of DFT.

Output
Space-group type: No. 123
Energy above the most stable polymorph in this dataset, meV per atom: 1814
Calculated density, kg/m3: 6271

a = 4.0717 Å, b = 4.0717 Å, c = 5.8465 Å
α = 90.00°, β = 90.00°, γ = 90.00°
Fractional positions:
1 Tc 0.5000 0.5000 0.5000
2 N 0.5000 0.0000 0.0000
3 N 0.0000 0.5000 0.0000
4 Cd 0.0000 0.0000 0.0000
5 Te 0.0000 0.0000 0.5000

---

19.
Computed, not measured: a geometry-optimized MnInTe2N structure at the PBE level of DFT.

Output
Space-group type: No. 123
Energy above the most stable polymorph in this dataset, meV per atom: 0
Calculated density, kg/m3: 6697

a = 5.5668 Å, b = 5.5668 Å, c = 3.5121 Å
α = 90.00°, β = 90.00°, γ = 90.00°
Fractional positions:
1 N 0.0000 0.0000 0.5000
2 In 0.5000 0.5000 0.5000
3 Te 0.0000 0.5000 0.0000
4 Te 0.5000 0.0000 0.0000
5 Mn 0.0000 0.0000 0.0000

---

20.
Computed, not measured: a geometry-optimized YZnW2 structure at the PBE level of DFT.

Output
Space-group type: No. 65
E_form, eV per formula unit: 2.13
Calculated density, kg/m3: 12075

a = 2.7922 Å, b = 2.7922 Å, c = 9.2137 Å
α = 90.00°, β = 90.00°, γ = 92.07°
Fractional positions:
1 W 0.0000 0.0000 0.9705
2 W 0.0000 0.0000 0.5295
3 Zn 0.5000 0.5000 0.7500
4 Y 0.5000 0.5000 0.2500